No. 1
DFT (PBE) results for a relaxed Na8Tl2Ge crystal.

Theoretical density in g/cm3: 3.288
Excess energy over the best structure of this formula in the dataset in kJ/mol of formula units: 72.1

abc: 8.7613 15.1971 5.5752
angles: 90.00 115.15 90.00
Closest atoms and distances in Å follow each position.
Space group C2/m (No. 12)
Symmetry-distinct sites (fractional):
Na: 0.0000 0.2015 0.0000 [4 per cell]  1 Ge 3.06, 2 Tl 3.25
Na: 0.1322 0.5000 0.8038 [4 per cell]  1 Ge 2.93, 1 Na 3.19
Na: 0.1984 0.1090 0.6243 [8 per cell]  4 Na 3.15-3.46, 2 Tl 3.24-3.45
Tl: 0.0000 0.3109 0.5000 [4 per cell]  8 Na 3.24-3.45
Ge: 0.0000 0.0000 0.0000 [2 per cell]  4 Na 2.93-3.06

***

No. 2
DFT (PBE) results for a relaxed Na2TlGe crystal.

Theoretical density in g/cm3: 5.190
Excess energy over the best structure of this formula in the dataset in kJ/mol of formula units: 35.7

abc: 3.3840 3.3840 31.2646
angles: 90.00 90.00 120.00
Closest atoms and distances in Å follow each position.
Space group R-3m (No. 166, hexagonal axes)
Symmetry-distinct sites (fractional):
Na: 0.0000 0.0000 0.2438 [6 per cell]  3 Ge 3.10, 6 Na 3.38, 3 Tl 3.41
Tl: 0.0000 0.0000 0.0000 [3 per cell]  6 Tl 3.38, 6 Na 3.41
Ge: 0.0000 0.0000 0.5000 [3 per cell]  6 Na 3.10, 6 Ge 3.38

***

No. 3
DFT (PBE) results for a relaxed Na2TlGe2 crystal.

Theoretical density in g/cm3: 5.243
Excess energy over the best structure of this formula in the dataset in kJ/mol of formula units: 43.2

abc: 8.6591 8.6591 3.3423
angles: 90.00 90.00 90.00
Closest atoms and distances in Å follow each position.
Space group P4/mbm (No. 127)
Symmetry-distinct sites (fractional):
Na: 0.1900 0.3100 0.0000 [4 per cell]  6 Ge 3.05-3.12, 2 Tl 3.15, 2 Na 3.34
Tl: 0.0000 0.0000 0.0000 [2 per cell]  4 Na 3.15, 2 Tl 3.34
Ge: 0.1017 0.6017 0.5000 [4 per cell]  1 Ge 2.49

***

No. 4
DFT (PBE) results for a relaxed Na2TlGe crystal.

Theoretical density in g/cm3: 5.341
Excess energy over the best structure of this formula in the dataset in kJ/mol of formula units: 17.5

abc: 3.5260 3.5260 8.0767
angles: 90.00 90.00 90.00
Closest atoms and distances in Å follow each position.
Space group P4/mmm (No. 123)
Symmetry-distinct sites (fractional):
Na: 0.0000 0.0000 0.2237 [2 per cell]  4 Ge 3.08, 4 Tl 3.35
Tl: 0.5000 0.5000 0.5000 [1 per cell]  8 Na 3.35, 4 Tl 3.53
Ge: 0.5000 0.5000 0.0000 [1 per cell]  8 Na 3.08

***

No. 5
DFT (PBE) results for a relaxed Na4TlGe crystal.

Theoretical density in g/cm3: 3.398
Excess energy over the best structure of this formula in the dataset in kJ/mol of formula units: 10.3

abc: 6.2714 5.9758 9.6240
angles: 90.00 90.00 90.00
Closest atoms and distances in Å follow each position.
Space group Pmn2_1 (No. 31)
Symmetry-distinct sites (fractional):
Na: 0.0000 0.1297 0.0000 [2 per cell]  2 Ge 3.09-3.12, 1 Tl 3.41
Na: 0.0000 0.1627 0.3848 [2 per cell]  1 Tl 3.27, 2 Ge 3.39, 2 Na 3.54
Na: 0.2490 0.6208 0.1857 [4 per cell]  2 Ge 3.06-3.07, 2 Na 3.12-3.15, 1 Tl 3.33
Tl: 0.0000 0.8885 0.6785 [2 per cell]  1 Ge 2.74
Ge: 0.0000 0.6273 0.9127 [2 per cell]  1 Tl 2.74, 2 Na 3.06

***

No. 6
DFT (PBE) results for a relaxed NaTlGe3 crystal.

Theoretical density in g/cm3: 5.366
Excess energy over the best structure of this formula in the dataset in kJ/mol of formula units: 35.5

abc: 5.1651 5.1651 5.1651
angles: 90.00 90.00 90.00
Closest atoms and distances in Å follow each position.
Space group Pm-3m (No. 221)
Symmetry-distinct sites (fractional):
Na: 0.0000 0.0000 0.0000 [1 per cell]  6 Ge 2.58
Tl: 0.5000 0.5000 0.5000 [1 per cell]  12 Ge 3.65
Ge: 0.0000 0.0000 0.5000 [3 per cell]  2 Na 2.58

***

No. 7
DFT (PBE) results for a relaxed Na2TlGe crystal.

Theoretical density in g/cm3: 5.465
Excess energy over the best structure of this formula in the dataset in kJ/mol of formula units: 15.7

abc: 4.5170 4.5170 4.8101
angles: 90.00 90.00 90.00
Closest atoms and distances in Å follow each position.
Space group P4/mmm (No. 123)
Symmetry-distinct sites (fractional):
Na: 0.0000 0.5000 0.0000 [2 per cell]  4 Na 3.19, 4 Ge 3.30, 4 Tl 3.30
Tl: 0.0000 0.0000 0.5000 [1 per cell]  4 Ge 3.19, 8 Na 3.30
Ge: 0.5000 0.5000 0.5000 [1 per cell]  4 Tl 3.19, 8 Na 3.30

***

No. 8
DFT (PBE) results for a relaxed Na16Tl12Ge crystal.

DFT total energy in eV/atom: -1.951
Theoretical density in g/cm3: 5.649

abc: 11.9717 16.7260 10.1627
angles: 90.00 123.30 90.00
Closest atoms and distances in Å follow each position.
Space group Cm (No. 8)
Symmetry-distinct sites (fractional):
Na: 0.0000 0.0000 0.0000 [2 per cell]  4 Na 3.56-3.68, 12 Tl 3.66-3.93
Na: 0.0135 0.0000 0.3585 [2 per cell]  4 Na 3.33-3.56, 1 Ge 3.50, 6 Tl 3.53-3.71
Na: 0.0813 0.3517 0.4310 [4 per cell]  5 Tl 3.21-3.51, 5 Na 3.40-3.54
Na: 0.1403 0.5000 0.6911 [2 per cell]  1 Ge 3.25, 2 Tl 3.36, 2 Na 3.40
Na: 0.1639 0.1569 0.5938 [4 per cell]  5 Tl 3.22-3.43, 1 Ge 3.30, 3 Na 3.33-3.54
Na: 0.1792 0.1733 0.0007 [4 per cell]  4 Na 3.41-3.60, 7 Tl 3.52-3.81
Na: 0.2065 0.5000 0.2993 [2 per cell]  5 Tl 3.34-3.39, 7 Na 3.38-3.64
Na: 0.3028 0.2913 0.3264 [4 per cell]  5 Tl 3.22-3.39, 2 Na 3.41-3.50
Na: 0.4571 0.1225 0.9913 [4 per cell]  5 Tl 3.20-3.49, 3 Na 3.37-3.56, 1 Ge 3.56
Na: 0.4945 0.1907 0.7055 [4 per cell]  5 Tl 3.28-3.63, 5 Na 3.37-3.64, 1 Ge 3.51
Tl: 0.0067 0.2014 0.2008 [4 per cell]  3 Tl 3.20-3.25, 5 Na 3.21-3.49
Tl: 0.1980 0.0000 0.8116 [2 per cell]  1 Ge 3.04, 3 Tl 3.26-3.30, 4 Na 3.31
Tl: 0.2377 0.4036 0.0278 [4 per cell]  6 Na 3.20-3.55, 3 Tl 3.21-3.23
Tl: 0.2817 0.0985 0.3750 [4 per cell]  1 Ge 2.99, 3 Tl 3.17-3.29, 2 Na 3.28-3.29
Tl: 0.3248 0.3050 0.8247 [4 per cell]  3 Tl 3.15-3.23, 5 Na 3.22-3.51
Tl: 0.3890 0.0000 0.1997 [2 per cell]  3 Tl 3.17-3.30, 5 Na 3.32-3.35
Tl: 0.4160 0.4025 0.6336 [4 per cell]  3 Tl 3.15-3.26, 4 Na 3.22-3.46
Ge: 0.3543 0.0000 0.6566 [2 per cell]  3 Tl 2.99-3.04, 3 Na 3.25-3.30

***

No. 9
DFT (PBE) results for a relaxed Na2TlGe crystal.

Theoretical density in g/cm3: 5.009
Excess energy over the best structure of this formula in the dataset in kJ/mol of formula units: 70.6

abc: 4.4575 4.4575 21.5572
angles: 90.00 90.00 90.00
Closest atoms and distances in Å follow each position.
Space group I-42d (No. 122)
Symmetry-distinct sites (fractional):
Na: 0.2328 0.2500 0.1250 [8 per cell]  4 Na 3.05-3.26, 2 Ge 3.10, 2 Tl 3.15
Tl: 0.0000 0.0000 0.5000 [4 per cell]  4 Na 3.15, 4 Ge 3.15
Ge: 0.0000 0.0000 0.0000 [4 per cell]  4 Na 3.10, 4 Tl 3.15

***

No. 10
DFT (PBE) results for a relaxed NaTl2Ge2 crystal.

Theoretical density in g/cm3: 6.795
Excess energy over the best structure of this formula in the dataset in kJ/mol of formula units: 20.3

abc: 5.1571 5.1571 10.6049
angles: 90.00 90.00 90.00
Closest atoms and distances in Å follow each position.
Space group I4/mmm (No. 139)
Symmetry-distinct sites (fractional):
Na: 0.0000 0.0000 0.0000 [2 per cell]  8 Tl 3.70, 10 Ge 3.85-4.07
Tl: 0.0000 0.5000 0.2500 [4 per cell]  4 Ge 2.94
Ge: 0.0000 0.0000 0.3833 [4 per cell]  1 Ge 2.47

***

No. 11
DFT (PBE) results for a relaxed Na3TlGe crystal.

Theoretical density in g/cm3: 3.148
Excess energy over the best structure of this formula in the dataset in kJ/mol of formula units: 281.7

abc: 5.6722 5.6722 5.6722
angles: 90.00 90.00 90.00
Closest atoms and distances in Å follow each position.
Space group Pm-3m (No. 221)
Symmetry-distinct sites (fractional):
Na: 0.0000 0.0000 0.5000 [3 per cell]  2 Tl 2.84
Tl: 0.0000 0.0000 0.0000 [1 per cell]  6 Na 2.84
Ge: 0.5000 0.5000 0.5000 [1 per cell]  12 Na 4.01

***

No. 12
DFT (PBE) results for a relaxed NaTl2Ge2 crystal.

Theoretical density in g/cm3: 7.287
Excess energy over the best structure of this formula in the dataset in kJ/mol of formula units: 19.9

abc: 7.7881 7.7881 4.3357
angles: 90.00 90.00 90.00
Closest atoms and distances in Å follow each position.
Space group P4/mbm (No. 127)
Symmetry-distinct sites (fractional):
Na: 0.0000 0.0000 0.0000 [2 per cell]  4 Ge 3.13
Tl: 0.1804 0.3196 0.5000 [4 per cell]  6 Ge 3.13-3.20
Ge: 0.1146 0.6146 0.0000 [4 per cell]  1 Ge 2.53

***

Computed values of Fermi-level density of states (unit: states/eV/atom) for the preceding records, in sequence: 0.558; 0.394; 0.374; 0.497; 0.488; 0.923; 0.565; 0.476; 0.488; 0.601; 0.821; 0.486.
Computed values of volume (unit: Å³ per cell) for the preceding records, in sequence: 672; 310; 251; 100; 361; 138; 98; 1701; 428; 282; 182; 263.